[1]
Here is an optimized crystal structure of TlFeSe2 from OQMD. Energies are from PBE.

**Final energy**: -4.580 eV/atom
**ρ**: 6.828 g cm⁻³
**Magnetic moment**: 3.53 μB/f.u.

Unit cell a=3.828 b=3.828 c=13.877 alpha=90.00 beta=90.00 gamma=90.00
Space group I-4m2 (No. 119)
Unique sites:
Tl 0.000 0.000 0.000
Fe 0.000 0.500 0.250
Se 0.000 0.000 0.350

---

[2]
Here is an optimized crystal structure of TlFe3Se5 from OQMD. Energies are from PBE.

**Final energy**: -5.142 eV/atom
**ρ**: 6.757 g cm⁻³
**Magnetic moment**: 6.50 μB/f.u.

Unit cell a=5.5280 b=5.5280 c=7.1196 alpha=90.00 beta=90.00 gamma=120.00
Space group P6/mmm (No. 191)
Unique sites:
Tl 0.0000 0.0000 0.0000
Fe 0.0000 0.5000 0.5000
Se 0.0000 0.0000 0.5000
Se 0.3333 0.6667 0.2504

---

[3]
Here is an optimized crystal structure of TmTlFeSe3 from OQMD. Energies are from PBE.

**Final energy**: -5.059 eV/atom
**ρ**: 7.233 g cm⁻³
**Magnetic moment**: 3.94 μB/f.u.

Unit cell a=17.097 b=4.123 c=8.915 alpha=90.00 beta=103.27 gamma=90.00
Space group C2/m (No. 12)
Unique sites:
Tm 0.169 0.000 0.084
Tl 0.142 0.000 0.562
Fe 0.004 0.500 0.211
Se 0.000 0.000 0.000
Se 0.000 0.500 0.500
Se 0.157 0.500 0.287
Se 0.161 0.500 0.861

---

[4]
Here is an optimized crystal structure of YTlFeSe3 from OQMD. Energies are from PBE.

**Final energy**: -5.553 eV/atom
**ρ**: 5.755 g cm⁻³
**Magnetic moment**: 3.83 μB/f.u.

Unit cell a=8.477 b=4.045 c=10.479 alpha=90.00 beta=109.73 gamma=90.00
Space group P2_1/m (No. 11)
Unique sites:
Y 0.187 0.250 0.143
Tl 0.231 0.750 0.707
Fe 0.432 0.750 0.413
Se 0.053 0.250 0.858
Se 0.271 0.250 0.442
Se 0.438 0.750 0.182